Record 1
! Nd3Tl3Hg GGA-PBE relaxed; values from VASP
! Energy of formation (eV per atom): -0.345
! VASP energy (eV per atom): -3.446
! D(E_F) (states/eV/atom): 0.869
&SYSTEM
  ibrav = 0, nat = 14, ntyp = 3
/
ATOMIC_SPECIES
Nd 144.24 Nd.upf
Tl 204.38 Tl.upf
Hg 200.59 Hg.upf
ATOMIC_POSITIONS crystal
Nd 0.0289 0.0289 0.3782
Nd 0.1031 0.1031 0.9253
Nd 0.2300 0.2300 0.2232
Nd 0.7700 0.7700 0.7768
Nd 0.8969 0.8969 0.0747
Nd 0.9711 0.9711 0.6218
Tl 0.3604 0.3604 0.4670
Tl 0.3784 0.3784 0.9248
Tl 0.4957 0.4957 0.7741
Tl 0.5043 0.5043 0.2259
Tl 0.6216 0.6216 0.0752
Tl 0.6396 0.6396 0.5330
Hg 0.2568 0.2568 0.6307
Hg 0.7432 0.7432 0.3693
CELL_PARAMETERS angstrom
5.8964 -2.3892 0.0000
5.8964 2.3892 0.0000
-5.0409 0.0000 14.8886

Record 2
! NdYTlHg GGA-PBE relaxed; values from VASP
! Energy of formation (eV per atom): -0.437
! VASP energy (eV per atom): -3.912
! D(E_F) (states/eV/atom): 1.025
&SYSTEM
  ibrav = 0, nat = 16, ntyp = 4
/
ATOMIC_SPECIES
Nd 144.24 Nd.upf
Y 88.91 Y.upf
Tl 204.38 Tl.upf
Hg 200.59 Hg.upf
ATOMIC_POSITIONS crystal
Nd 0.0000 0.0000 0.0000
Nd 0.0000 0.5000 0.5000
Nd 0.5000 0.0000 0.5000
Nd 0.5000 0.5000 0.0000
Y 0.0000 0.0000 0.5000
Y 0.0000 0.5000 0.0000
Y 0.5000 0.0000 0.0000
Y 0.5000 0.5000 0.5000
Tl 0.2500 0.2500 0.7500
Tl 0.2500 0.7500 0.2500
Tl 0.7500 0.2500 0.2500
Tl 0.7500 0.7500 0.7500
Hg 0.2500 0.2500 0.2500
Hg 0.2500 0.7500 0.7500
Hg 0.7500 0.2500 0.7500
Hg 0.7500 0.7500 0.2500
CELL_PARAMETERS angstrom
7.6479 0.0000 0.0000
0.0000 7.6479 0.0000
0.0000 0.0000 7.6479